This record from Alexandria describes an optimized crystal structure of Zr2AlAgBi. The functional is GGA-PBEsol.

Computed properties:
size of the total moment	0.00	μB/cell
total energy	-5.0103	eV/atom
density of states at the Fermi level	6.815	states/eV/cell
energy relative to the elements	0.96	eV per atom
space group	No. 123

```
5
Lattice="5.1203 0.0000 0.0000 0.0000 5.1203 0.0000 0.0000 0.0000 5.2795" Properties=species:S:1:pos:R:3 pbc="T T T"
Zr 0.0000 2.5601 0.0000
Zr 2.5601 0.0000 0.0000
Bi 0.0000 0.0000 2.6398
Ag 0.0000 0.0000 0.0000
Al 2.5601 2.5601 2.6398
```